Below is a geometry-optimized Rb2Na6Pb structure, with properties calculated at the PBE level.

Lattice parameters (Å, degrees): 7.408 7.408 8.169 91.61 91.61 59.47
Fractional positions:
Rb1 0.169 0.169 0.118
Rb2 0.831 0.831 0.882
Na1 0.177 0.670 0.316
Na2 0.329 0.329 0.672
Na3 0.330 0.823 0.684
Na4 0.670 0.177 0.316
Na5 0.671 0.671 0.328
Na6 0.823 0.330 0.684
Pb1 0.500 0.500 0.000

Computed properties:
- Crystal system: monoclinic
- Symmetry: No. 12
- Energy of formation: -26 meV per atom


Below is a geometry-optimized Rb3Na4Pb2 structure, with properties calculated at the PBE level.

Lattice parameters (Å, degrees): 7.420 7.420 11.010 106.04 106.04 44.05
Fractional positions:
Rb1 0.000 0.000 0.000
Rb2 0.376 0.376 0.622
Rb3 0.624 0.624 0.378
Na1 0.097 0.097 0.668
Na2 0.283 0.283 0.940
Na3 0.717 0.717 0.060
Na4 0.903 0.903 0.332
Pb1 0.289 0.289 0.241
Pb2 0.711 0.711 0.759

Computed properties:
- Crystal system: monoclinic
- Symmetry: No. 12
- Energy of formation: -67 meV per atom


Below is a geometry-optimized Rb2Na2Pb structure, with properties calculated at the PBE level.

Lattice parameters (Å, degrees): 9.995 9.995 4.927 90.00 90.00 90.00
Fractional positions:
Rb1 0.147 0.353 0.000
Rb2 0.353 0.853 0.000
Rb3 0.647 0.147 0.000
Rb4 0.853 0.647 0.000
Na1 0.167 0.667 0.500
Na2 0.333 0.167 0.500
Na3 0.667 0.833 0.500
Na4 0.833 0.333 0.500
Pb1 0.000 0.000 0.000
Pb2 0.500 0.500 0.000

Computed properties:
- Crystal system: tetragonal
- Symmetry: No. 127
- Energy of formation: 210 meV per atom


Below is a geometry-optimized Rb2NaPb structure, with properties calculated at the PBE level.

Lattice parameters (Å, degrees): 5.534 5.534 5.999 90.00 90.00 90.00
Fractional positions:
Rb1 0.000 0.500 0.000
Rb2 0.500 0.000 0.000
Na1 0.000 0.000 0.500
Pb1 0.500 0.500 0.500

Computed properties:
- Crystal system: tetragonal
- Symmetry: No. 123
- Energy of formation: 60 meV per atom